VASP calculation (PBE) on crystalline NiBiRu2 at its relaxed geometry.

CIF file:
```
data_NiBiRu2
_symmetry_space_group_name_H-M 'I -4 2 d'
_symmetry_Int_Tables_number 122
_symmetry_space_group_name_Hall 'I -4 2bw'
_cell_length_a 3.954
_cell_length_b 3.954
_cell_length_c 18.244
_cell_angle_alpha 90.00
_cell_angle_beta 90.00
_cell_angle_gamma 90.00
loop_
_atom_site_label
_atom_site_type_symbol
_atom_site_fract_x
_atom_site_fract_y
_atom_site_fract_z
Ni1 Ni 0.000 0.000 0.000
Bi1 Bi 0.000 0.000 0.500
Ru1 Ru 0.172 0.250 0.125
```

Values from the calculation:
formation energy from the elements: 13.8 kcal/mol of atoms
final energy: -6.457 eV per atom